## MgV4P4O20 (GGA+U)

Data for an optimized crystal structure of MgV4P4O20.

The structure in POSCAR format:
```
MgV4P4O20
1.0
-2.129 0.905 -4.741
-3.294 -6.032 -2.582
-10.002 0.484 1.833
O P V Mg
20 4 4 1
Cartesian
-5.197 -5.484 -2.980
-6.323 -0.609 -2.892
-9.372 0.233 -0.189
-8.551 -4.161 -5.379
-6.939 -2.379 -4.531
-6.874 -0.481 -0.110
-4.313 0.018 -1.105
-10.227 0.842 -2.509
-9.608 -1.642 -3.163
-6.053 -4.875 -5.300
-4.512 -1.851 -4.154
-10.913 -2.790 -1.335
-3.212 -3.692 -1.937
-8.486 -2.263 -0.958
-12.213 -0.950 -3.552
-2.326 -1.232 -2.090
-11.112 -4.660 -4.385
-5.817 -3.000 -2.327
-13.099 -3.410 -3.399
-9.102 -4.033 -2.597
-12.597 -4.774 -3.933
-5.915 -1.954 -3.476
-9.509 -2.688 -2.013
-2.828 0.132 -1.557
-8.275 -1.130 0.621
-1.647 -3.016 -1.291
-6.066 0.695 -1.454
-7.150 -3.512 -6.110
-2.712 -2.563 -3.661
```

magnetization: 0.0690 μB/atom
volume: 11.8 A^3/atom
uncorrected energy: -7.33 eV per atom